(1)
PrTm8Pb6 after structural relaxation. Source: the Alexandria database, functional PBE.

Summary:
Crystal system   trigonal
Total magnetic moment   0.008 μB per formula unit
Raw total energy   -4.487 eV per atom

a b c (Å): 8.3920 8.3920 8.3920
angles (deg): 65.48 65.48 65.48
Closest atoms and distances in Å follow each position.
Positions (direct):
Pr: 0.0000 0.0000 0.0000  6 Pb 3.39, 6 Tm 3.63
Tm: 0.1063 0.4329 0.7771  5 Pb 3.08-3.44
Tm: 0.2229 0.8937 0.5671  5 Pb 3.08-3.44
Tm: 0.3330 0.3330 0.3330  6 Pb 3.28-3.29
Tm: 0.4329 0.7771 0.1063  5 Pb 3.08-3.44
Tm: 0.5671 0.2229 0.8937  5 Pb 3.08-3.44
Tm: 0.6670 0.6670 0.6670  6 Pb 3.28-3.29
Tm: 0.7771 0.1063 0.4329  5 Pb 3.08-3.44
Tm: 0.8937 0.5671 0.2229  5 Pb 3.08-3.44
Pb: 0.0693 0.7282 0.4114  7 Tm 3.08-3.44, 1 Pr 3.39
Pb: 0.2718 0.5886 0.9307  7 Tm 3.08-3.44, 1 Pr 3.39
Pb: 0.4114 0.0693 0.7282  7 Tm 3.08-3.44, 1 Pr 3.39
Pb: 0.5886 0.9307 0.2718  7 Tm 3.08-3.44, 1 Pr 3.39
Pb: 0.7282 0.4114 0.0693  7 Tm 3.08-3.44, 1 Pr 3.39
Pb: 0.9307 0.2718 0.5886  7 Tm 3.08-3.44, 1 Pr 3.39

***

(2)
BaHg6Pt6 after structural relaxation. Source: the Alexandria database, functional PBE.

Summary:
Crystal system   orthorhombic
Total magnetic moment   0.000 μB per formula unit
Raw total energy   -3.309 eV per atom

a b c (Å): 7.4114 7.4114 7.4114
angles (deg): 134.71 100.40 96.66
Closest atoms and distances in Å follow each position.
Positions (direct):
Ba: 0.0000 0.0000 0.0000  8 Hg 3.26-3.40
Hg: 0.1855 0.6855 0.5000  6 Pt 2.84-2.92
Hg: 0.3431 0.0000 0.3431  1 Hg 2.98, 6 Pt 2.98-3.02, 1 Ba 3.26
Hg: 0.3455 0.3455 0.0000  6 Pt 2.90-2.92, 1 Hg 3.04
Hg: 0.6545 0.6545 0.0000  6 Pt 2.90-2.92, 1 Hg 3.04
Hg: 0.6569 0.0000 0.6569  1 Hg 2.98, 6 Pt 2.98-3.02, 1 Ba 3.26
Hg: 0.8145 0.3145 0.5000  6 Pt 2.84-2.92
Pt: 0.0000 0.0000 0.5000  6 Hg 2.84-2.98, 4 Pt 2.85
Pt: 0.0000 0.5000 0.0000  6 Hg 2.84-2.98, 4 Pt 2.85
Pt: 0.2399 0.5000 0.7399  4 Pt 2.85, 6 Hg 2.90-3.02
Pt: 0.5000 0.0000 0.0000  6 Hg 2.84-2.98, 4 Pt 2.85
Pt: 0.5000 0.5000 0.5000  6 Hg 2.84-2.98, 4 Pt 2.85
Pt: 0.7601 0.5000 0.2601  4 Pt 2.85, 6 Hg 2.90-3.02

***

(3)
NaTiIr2Au after structural relaxation. Source: the Alexandria database, functional PBE.

Summary:
Crystal system   tetragonal
Total magnetic moment   0.000 μB per formula unit
Raw total energy   -4.499 eV per atom

a b c (Å): 4.5572 4.5572 4.4435
angles (deg): 90.00 90.00 90.00
Closest atoms and distances in Å follow each position.
Positions (direct):
Na: 0.0000 0.0000 0.0000  2 Au 2.22, 4 Ir 2.28
Ti: 0.5000 0.5000 0.5000  8 Ir 3.18, 4 Au 3.22
Ir: 0.0000 0.5000 0.0000  2 Na 2.28
Ir: 0.5000 0.0000 0.0000  2 Na 2.28
Au: 0.0000 0.0000 0.5000  2 Na 2.22

***

(4)
CuMoP2S after structural relaxation. Source: the Alexandria database, functional PBE.

Summary:
Crystal system   tetragonal
Total magnetic moment   0.000 μB per formula unit
Formation energy without anion corrections   0.656 eV per atom

a b c (Å): 4.7415 4.7415 4.5583
angles (deg): 90.00 90.00 90.00
Closest atoms and distances in Å follow each position.
Positions (direct):
Cu: 0.0000 0.0000 0.0000  8 P 3.29, 4 S 3.35
Mo: 0.5000 0.5000 0.5000  2 S 2.28, 4 P 2.37
P: 0.0000 0.5000 0.5000  2 Mo 2.37
P: 0.5000 0.0000 0.5000  2 Mo 2.37
S: 0.5000 0.5000 0.0000  2 Mo 2.28

***

(5)
Ti3CuPd6 after structural relaxation. Source: the Alexandria database, functional PBE.

Summary:
Crystal system   orthorhombic
Total magnetic moment   0.000 μB per formula unit
Raw total energy   -6.285 eV per atom

a b c (Å): 8.3962 8.3962 4.8453
angles (deg): 90.00 90.00 113.56
Closest atoms and distances in Å follow each position.
Positions (direct):
Ti: 0.1133 0.8867 0.5000  1 Cu 2.49, 2 Pd 2.61
Ti: 0.2290 0.4395 0.8221  5 Pd 2.53-2.79, 1 Cu 2.60
Ti: 0.4395 0.2290 0.3221  5 Pd 2.53-2.79, 1 Cu 2.60
Ti: 0.5605 0.7710 0.8221  5 Pd 2.53-2.79, 1 Cu 2.60
Ti: 0.7710 0.5605 0.3221  5 Pd 2.53-2.79, 1 Cu 2.60
Ti: 0.8867 0.1133 0.0000  1 Cu 2.49, 2 Pd 2.61
Cu: 0.2905 0.7095 0.5114  3 Ti 2.49-2.60, 5 Pd 2.52-2.65
Cu: 0.7095 0.2905 0.0114  3 Ti 2.49-2.60, 5 Pd 2.52-2.65
Pd: 0.0491 0.4547 0.2352  2 Ti 2.54-2.84, 2 Cu 2.65-2.84, 5 Pd 2.69-2.76
Pd: 0.1072 0.1944 0.4766  3 Ti 2.53-2.79, 4 Pd 2.69-2.77
Pd: 0.1944 0.1072 0.9766  3 Ti 2.53-2.79, 4 Pd 2.69-2.77
Pd: 0.2221 0.7779 0.0127  2 Cu 2.60-2.61, 6 Pd 2.69-2.87, 1 Ti 2.81
Pd: 0.4501 0.5499 0.2758  1 Cu 2.52, 4 Ti 2.67-2.79, 2 Pd 2.80
Pd: 0.4547 0.0491 0.7352  2 Ti 2.54-2.84, 2 Cu 2.65-2.84, 5 Pd 2.69-2.76
Pd: 0.5453 0.9509 0.2352  2 Ti 2.54-2.84, 2 Cu 2.65-2.84, 5 Pd 2.69-2.76
Pd: 0.5499 0.4501 0.7758  1 Cu 2.52, 4 Ti 2.67-2.79, 2 Pd 2.80
Pd: 0.7779 0.2221 0.5127  2 Cu 2.60-2.61, 6 Pd 2.69-2.87, 1 Ti 2.81
Pd: 0.8056 0.8928 0.4766  3 Ti 2.53-2.79, 4 Pd 2.69-2.77
Pd: 0.8928 0.8056 0.9766  3 Ti 2.53-2.79, 4 Pd 2.69-2.77
Pd: 0.9509 0.5453 0.7352  2 Ti 2.54-2.84, 2 Cu 2.65-2.84, 5 Pd 2.69-2.76

***

(6)
AlGe3H after structural relaxation. Source: the Alexandria database, functional PBE.

Summary:
Crystal system   cubic
Total magnetic moment   0.339 μB per formula unit
Raw total energy   -3.152 eV per atom

a b c (Å): 4.8885 4.8885 4.8885
angles (deg): 90.00 90.00 90.00
Closest atoms and distances in Å follow each position.
Positions (direct):
Al: 0.0000 0.0000 0.0000  6 Ge 2.44
Ge: 0.0000 0.0000 0.5000  2 Al 2.44
Ge: 0.0000 0.5000 0.0000  2 Al 2.44
Ge: 0.5000 0.0000 0.0000  2 Al 2.44
H: 0.5000 0.5000 0.5000  12 Ge 3.46

***

(7)
AcCeSn2 after structural relaxation. Source: the Alexandria database, functional PBE.

Summary:
Crystal system   tetragonal
Total magnetic moment   1.524 μB per formula unit
Raw total energy   -4.724 eV per atom

a b c (Å): 6.3682 6.3682 3.3677
angles (deg): 90.00 90.00 90.00
Closest atoms and distances in Å follow each position.
Positions (direct):
Ac: 0.0000 0.0000 0.0000  4 Sn 3.18, 2 Ac 3.37
Ce: 0.5000 0.5000 0.5000  2 Ce 3.37, 8 Sn 3.60
Sn: 0.0000 0.5000 0.0000  2 Ac 3.18, 2 Sn 3.37
Sn: 0.5000 0.0000 0.0000  2 Ac 3.18, 2 Sn 3.37

***

(8)
Pm6Nd2Tl after structural relaxation. Source: the Alexandria database, functional PBE.

Summary:
Crystal system   monoclinic
Total magnetic moment   0.000 μB per formula unit
Raw total energy   -4.466 eV per atom

a b c (Å): 9.9319 9.9319 3.4733
angles (deg): 90.20 90.20 59.80
Closest atoms and distances in Å follow each position.
Positions (direct):
Pm: 0.1736 0.5004 0.0056  5 Pm 3.22-3.47
Pm: 0.1771 0.8229 0.0000  5 Pm 3.22-3.51
Pm: 0.5004 0.1736 0.0056  5 Pm 3.22-3.47
Pm: 0.4996 0.8264 0.9944  5 Pm 3.22-3.47
Pm: 0.8229 0.1771 0.0000  5 Pm 3.22-3.51
Pm: 0.8264 0.4996 0.9944  5 Pm 3.22-3.47
Nd: 0.1664 0.1664 0.4998  2 Nd 3.47, 12 Pm 3.75-3.79
Nd: 0.8336 0.8336 0.5002  2 Nd 3.47, 12 Pm 3.75-3.79
Tl: 0.5000 0.5000 0.5000  2 Tl 3.47, 12 Pm 3.64-3.69

***

(9)
KSe6N2 after structural relaxation. Source: the Alexandria database, functional PBE.

Summary:
Crystal system   monoclinic
Total magnetic moment   0.000 μB per formula unit
Formation energy without anion corrections   0.276 eV per atom

a b c (Å): 7.6898 7.6898 6.5651
angles (deg): 108.02 108.02 52.67
Closest atoms and distances in Å follow each position.
Positions (direct):
K: 0.0000 0.0000 0.0000  2 N 2.81
Se: 0.0341 0.5046 0.3263  1 N 1.82
Se: 0.1708 0.8292 0.5000  1 Se 2.33
Se: 0.4954 0.9659 0.6737  1 N 1.82
Se: 0.5046 0.0341 0.3263  1 N 1.82
Se: 0.8292 0.1708 0.5000  1 Se 2.33
Se: 0.9659 0.4954 0.6737  1 N 1.82
N: 0.2156 0.2156 0.2110  2 Se 1.82
N: 0.7844 0.7844 0.7890  2 Se 1.82

***

(10)
LiFeCu2Ir after structural relaxation. Source: the Alexandria database, functional PBE.

Summary:
Crystal system   tetragonal
Total magnetic moment   4.025 μB per formula unit
Raw total energy   -4.654 eV per atom

a b c (Å): 4.7518 4.7518 4.6041
angles (deg): 90.00 90.00 90.00
Closest atoms and distances in Å follow each position.
Positions (direct):
Li: 0.0000 0.0000 0.0000  8 Cu 3.31, 4 Fe 3.36
Fe: 0.5000 0.5000 0.0000  2 Ir 2.30
Cu: 0.0000 0.5000 0.5000  2 Ir 2.38
Cu: 0.5000 0.0000 0.5000  2 Ir 2.38
Ir: 0.5000 0.5000 0.5000  2 Fe 2.30, 4 Cu 2.38

***

(11)
MgAl3Ag after structural relaxation. Source: the Alexandria database, functional PBE.

Summary:
Crystal system   triclinic
Total magnetic moment   0.000 μB per formula unit
Raw total energy   -3.148 eV per atom

a b c (Å): 5.3203 5.5434 6.8556
angles (deg): 72.69 70.99 86.56
Closest atoms and distances in Å follow each position.
Positions (direct):
Mg: 0.0672 0.2982 0.3598  4 Ag 3.00-3.24, 8 Al 3.00-3.30, 2 Mg 3.27-3.28
Mg: 0.9328 0.7018 0.6402  4 Ag 3.00-3.24, 8 Al 3.00-3.30, 2 Mg 3.27-3.28
Al: 0.1413 0.1857 0.8385  5 Al 2.63-2.90, 2 Ag 2.68-2.90
Al: 0.3194 0.6165 0.8991  4 Al 2.77-2.90, 2 Ag 2.83-2.84, 2 Mg 3.02-3.06
Al: 0.3332 0.8727 0.1929  4 Al 2.65-2.81, 2 Ag 2.81
Al: 0.6668 0.1273 0.8071  4 Al 2.65-2.81, 2 Ag 2.81
Al: 0.6806 0.3835 0.1009  4 Al 2.77-2.90, 2 Ag 2.83-2.84, 2 Mg 3.02-3.06
Al: 0.8587 0.8143 0.1615  5 Al 2.63-2.90, 2 Ag 2.68-2.90
Ag: 0.5000 0.0000 0.5000  2 Ag 2.77, 6 Al 2.81-2.90, 2 Mg 3.00
Ag: 0.5000 0.5000 0.5000  6 Al 2.68-2.84, 2 Ag 2.77

***

(12)
TbDy6Er12 after structural relaxation. Source: the Alexandria database, functional PBE.

Summary:
Crystal system   trigonal
Total magnetic moment   0.004 μB per formula unit
Raw total energy   -4.418 eV per atom

a b c (Å): 8.4382 8.4382 8.4382
angles (deg): 88.29 88.29 88.29
Closest atoms and distances in Å follow each position.
Positions (direct):
Tb: 0.0000 0.0000 0.0000  6 Dy 3.44, 6 Er 3.53
Dy: 0.0904 0.2554 0.6868  6 Er 3.23-3.57, 1 Tb 3.44, 2 Dy 3.45
Dy: 0.2554 0.6868 0.0904  6 Er 3.23-3.57, 1 Tb 3.44, 2 Dy 3.45
Dy: 0.3132 0.9096 0.7446  6 Er 3.23-3.57, 1 Tb 3.44, 2 Dy 3.45
Dy: 0.6868 0.0904 0.2554  6 Er 3.23-3.57, 1 Tb 3.44, 2 Dy 3.45
Dy: 0.7446 0.3132 0.9096  6 Er 3.23-3.57, 1 Tb 3.44, 2 Dy 3.45
Dy: 0.9096 0.7446 0.3132  6 Er 3.23-3.57, 1 Tb 3.44, 2 Dy 3.45
Er: 0.0091 0.3541 0.2117  4 Er 3.37-3.53, 4 Dy 3.47-3.65, 1 Tb 3.53
Er: 0.2117 0.0091 0.3541  4 Er 3.37-3.53, 4 Dy 3.47-3.65, 1 Tb 3.53
Er: 0.2272 0.5636 0.4556  3 Dy 3.23-3.41, 6 Er 3.25-3.50
Er: 0.3541 0.2117 0.0091  4 Er 3.37-3.53, 4 Dy 3.47-3.65, 1 Tb 3.53
Er: 0.4364 0.5444 0.7728  3 Dy 3.23-3.41, 6 Er 3.25-3.50
Er: 0.4556 0.2272 0.5636  3 Dy 3.23-3.41, 6 Er 3.25-3.50
Er: 0.5444 0.7728 0.4364  3 Dy 3.23-3.41, 6 Er 3.25-3.50
Er: 0.5636 0.4556 0.2272  3 Dy 3.23-3.41, 6 Er 3.25-3.50
Er: 0.6459 0.7883 0.9909  4 Er 3.37-3.53, 4 Dy 3.47-3.65, 1 Tb 3.53
Er: 0.7728 0.4364 0.5444  3 Dy 3.23-3.41, 6 Er 3.25-3.50
Er: 0.7883 0.9909 0.6459  4 Er 3.37-3.53, 4 Dy 3.47-3.65, 1 Tb 3.53
Er: 0.9909 0.6459 0.7883  4 Er 3.37-3.53, 4 Dy 3.47-3.65, 1 Tb 3.53